Density functional theory data (PBE) for a relaxed Sr2SbAu2 crystal.

Unit cell a=4.6226 b=6.3344 c=11.2483 alpha=86.51 beta=78.14 gamma=68.60
Last column: nearest neighbours and their distance in Å.
Sites, in units of the cell vectors:
1 Sr 0.6845 0.2660 0.3650  7 Au 3.36-3.72, 4 Sb 3.42-3.59
2 Sr 0.0921 0.7142 0.1016  6 Au 3.26-3.51, 2 Sb 3.39
3 Sr 0.3155 0.7340 0.6350  7 Au 3.36-3.72, 4 Sb 3.42-3.59
4 Sr 0.9079 0.2858 0.8984  6 Au 3.26-3.51, 2 Sb 3.39
5 Au 0.0430 0.3290 0.5850  2 Sb 2.77, 1 Au 2.77
6 Au 0.6333 0.8384 0.8949  1 Au 2.97, 1 Sb 2.99, 1 Sr 3.26
7 Au 0.3667 0.1616 0.1051  1 Au 2.97, 1 Sb 2.99, 1 Sr 3.26
8 Au 0.9570 0.6710 0.4150  2 Sb 2.77, 1 Au 2.77
9 Sb 0.5818 0.1521 0.6844  3 Au 2.77-2.99
10 Sb 0.4182 0.8479 0.3156  3 Au 2.77-2.99

Output
The total magnetic moment comes out at 0.000 μB per atom. The density of states at the Fermi level comes out at 2.97 states/eV per cell. The value obtained for the calculated volume is 300.1 Å³ per cell. The value obtained for the final energy is -0.1326 Ha/atom.

Density functional theory data (PBE) for a relaxed LiLu crystal.

Unit cell a=3.6302 b=3.6302 c=3.6302 alpha=90.00 beta=90.00 gamma=90.00
Last column: nearest neighbours and their distance in Å.
Sites, in units of the cell vectors:
1 Lu 0.5000 0.5000 0.5000  8 Li 3.14
2 Li 0.0000 0.0000 0.0000  8 Lu 3.14

Output
The energy of formation from the pure elements is 0.164 eV/atom. The total magnetic moment comes out at 0.000 μB per atom. The density of states at the Fermi level comes out at 1.51 states/eV per cell. The value obtained for the calculated volume is 47.8 Å³ per cell. The value obtained for the final energy is -0.1122 Ha/atom.

Density functional theory data (PBE) for a relaxed TlGe2Au5 crystal.

Unit cell a=4.4327 b=6.7846 c=6.7846 alpha=65.16 beta=70.93 gamma=70.93
Last column: nearest neighbours and their distance in Å.
Sites, in units of the cell vectors:
1 Au 0.6421 0.5515 0.1643  1 Ge 2.53, 1 Au 2.83
2 Au 0.3579 0.4485 0.8357  1 Ge 2.53, 1 Au 2.83
3 Au 0.6421 0.1643 0.5515  1 Ge 2.53, 1 Au 2.83
4 Au 0.3579 0.8357 0.4485  1 Ge 2.53, 1 Au 2.83
5 Au 0.0000 0.5000 0.5000  2 Ge 2.60
6 Ge 0.7538 0.7462 0.7462  3 Au 2.53-2.60
7 Ge 0.2462 0.2538 0.2538  3 Au 2.53-2.60
8 Tl 0.0000 0.0000 0.0000  4 Ge 3.47, 10 Au 3.49-3.65

Output
The energy of formation from the pure elements is 0.014 eV/atom. The total magnetic moment comes out at 0.000 μB per atom. The density of states at the Fermi level comes out at 2.54 states/eV per cell. The value obtained for the calculated volume is 170.7 Å³ per cell. The value obtained for the final energy is -0.1280 Ha/atom.

Density functional theory data (PBE) for a relaxed MnNi2HPb crystal.

Unit cell a=3.9030 b=3.9030 c=3.9329 alpha=90.00 beta=90.00 gamma=90.00
Last column: nearest neighbours and their distance in Å.
Sites, in units of the cell vectors:
1 H 0.0000 0.0000 0.0000  4 Ni 1.95, 2 Mn 1.97
2 Pb 0.5000 0.5000 0.5000  4 Mn 2.76, 8 Ni 2.77
3 Ni 0.0000 0.5000 0.0000  2 H 1.95
4 Ni 0.5000 0.0000 0.0000  2 H 1.95
5 Mn 0.0000 0.0000 0.5000  2 H 1.97

Output
The total magnetic moment comes out at 0.617 μB per atom. The density of states at the Fermi level comes out at 5.09 states/eV per cell. The value obtained for the calculated volume is 59.9 Å³ per cell. The value obtained for the final energy is -0.1988 Ha/atom.

Density functional theory data (PBE) for a relaxed Ac6Si2Pd crystal.

Unit cell a=7.1228 b=8.4322 c=10.6824 alpha=90.00 beta=90.79 gamma=90.00
Last column: nearest neighbours and their distance in Å.
Sites, in units of the cell vectors:
1 Si 0.0679 0.6220 0.2473  6 Ac 3.23-3.33
2 Si 0.5679 0.8780 0.7473  6 Ac 3.23-3.33
3 Si 0.9321 0.3780 0.7527  6 Ac 3.23-3.33
4 Si 0.4321 0.1220 0.2527  6 Ac 3.23-3.33
5 Ac 0.6443 0.1816 0.5696  1 Pd 3.06, 2 Si 3.24-3.26
6 Ac 0.8467 0.9559 0.2421  1 Pd 2.97, 2 Si 3.23-3.27
7 Ac 0.8557 0.6816 0.9304  1 Pd 3.06, 2 Si 3.24-3.26
8 Ac 0.1443 0.3184 0.0696  1 Pd 3.06, 2 Si 3.24-3.26
9 Ac 0.1533 0.0441 0.7579  1 Pd 2.97, 2 Si 3.23-3.27
10 Ac 0.8503 0.6716 0.5616  1 Pd 3.04, 2 Si 3.26-3.33
11 Ac 0.3467 0.5441 0.7421  1 Pd 2.97, 2 Si 3.23-3.27
12 Ac 0.3557 0.8184 0.4304  1 Pd 3.06, 2 Si 3.24-3.26
13 Ac 0.3503 0.8284 0.0616  1 Pd 3.04, 2 Si 3.26-3.33
14 Ac 0.6497 0.1716 0.9384  1 Pd 3.04, 2 Si 3.26-3.33
15 Ac 0.6533 0.4559 0.2579  1 Pd 2.97, 2 Si 3.23-3.27
16 Ac 0.1497 0.3284 0.4384  1 Pd 3.04, 2 Si 3.26-3.33
17 Pd 0.5000 0.5000 0.0000  6 Ac 2.97-3.06
18 Pd 0.0000 0.0000 0.5000  6 Ac 2.97-3.06

Output
The total magnetic moment comes out at 0.001 μB per atom. The density of states at the Fermi level comes out at 20.42 states/eV per cell. The value obtained for the calculated volume is 641.5 Å³ per cell. The value obtained for the final energy is -0.1801 Ha/atom.

Density functional theory data (PBE) for a relaxed LaMg2CdPb crystal.

Unit cell a=5.9668 b=5.8419 c=5.9668 alpha=90.00 beta=90.00 gamma=90.00
Last column: nearest neighbours and their distance in Å.
Sites, in units of the cell vectors:
1 Pb 0.5000 0.5000 0.5000  8 Mg 4.18, 4 Cd 4.22
2 Mg 0.0000 0.0000 0.5000  2 La 2.98
3 Mg 0.5000 0.0000 0.0000  2 La 2.98
4 Cd 0.0000 0.5000 0.0000  2 La 2.92
5 La 0.0000 0.0000 0.0000  2 Cd 2.92, 4 Mg 2.98

Output
The energy of formation from the pure elements is 0.924 eV/atom. The total magnetic moment comes out at 0.000 μB per atom. The density of states at the Fermi level comes out at 7.01 states/eV per cell. The value obtained for the calculated volume is 208.0 Å³ per cell. The value obtained for the final energy is -0.0597 Ha/atom.

Density functional theory data (PBE) for a relaxed KGa2Co2 crystal.

Unit cell a=7.5753 b=7.5753 c=2.7007 alpha=90.00 beta=90.00 gamma=90.00
Last column: nearest neighbours and their distance in Å.
Sites, in units of the cell vectors:
1 Co 0.1409 0.3591 0.0000  6 Ga 2.54-2.67, 2 Co 2.70
2 Co 0.6409 0.1409 0.0000  6 Ga 2.54-2.67, 2 Co 2.70
3 Co 0.8591 0.6409 0.0000  6 Ga 2.54-2.67, 2 Co 2.70
4 Co 0.3591 0.8591 0.0000  6 Ga 2.54-2.67, 2 Co 2.70
5 Ga 0.8563 0.3563 0.5000  6 Co 2.54-2.67, 2 Ga 2.70
6 Ga 0.6437 0.8563 0.5000  6 Co 2.54-2.67, 2 Ga 2.70
7 Ga 0.3563 0.1437 0.5000  6 Co 2.54-2.67, 2 Ga 2.70
8 Ga 0.1437 0.6437 0.5000  6 Co 2.54-2.67, 2 Ga 2.70
9 K 0.0000 0.0000 0.0000  2 K 2.70, 4 Co 2.92
10 K 0.5000 0.5000 0.0000  2 K 2.70, 4 Co 2.92

Output
The energy of formation from the pure elements is 0.161 eV/atom. The total magnetic moment comes out at 0.000 μB per atom. The density of states at the Fermi level comes out at 5.10 states/eV per cell. The value obtained for the calculated volume is 155.0 Å³ per cell. The value obtained for the final energy is -0.1511 Ha/atom.

Density functional theory data (PBE) for a relaxed NaTaGa2Re crystal.

Unit cell a=5.1596 b=4.8585 c=5.1596 alpha=90.00 beta=90.00 gamma=90.00
Last column: nearest neighbours and their distance in Å.
Sites, in units of the cell vectors:
1 Ga 0.5000 0.0000 0.0000  2 Ta 2.58
2 Ga 0.0000 0.0000 0.5000  2 Ta 2.58
3 Ta 0.0000 0.0000 0.0000  2 Re 2.43, 4 Ga 2.58
4 Re 0.0000 0.5000 0.0000  2 Ta 2.43
5 Na 0.5000 0.5000 0.5000  8 Ga 3.54, 4 Re 3.65

Output
The energy of formation from the pure elements is 0.957 eV/atom. The total magnetic moment comes out at 0.418 μB per atom. The density of states at the Fermi level comes out at 3.74 states/eV per cell. The value obtained for the calculated volume is 129.3 Å³ per cell. The value obtained for the final energy is -0.1976 Ha/atom.

Density functional theory data (PBE) for a relaxed Pm4Er4Sc crystal.

Unit cell a=5.0158 b=7.9320 c=7.9320 alpha=84.26 beta=71.57 gamma=71.57
Last column: nearest neighbours and their distance in Å.
Sites, in units of the cell vectors:
1 Pm 0.0000 0.6712 0.3289  1 Sc 3.50, 6 Er 3.52-3.58, 5 Pm 3.59-3.64
2 Pm 0.3289 0.6711 0.6712  1 Sc 3.50, 6 Er 3.52-3.58, 5 Pm 3.59-3.64
3 Pm 0.6711 0.3289 0.3288  1 Sc 3.50, 6 Er 3.52-3.58, 5 Pm 3.59-3.64
4 Pm 0.0000 0.3288 0.6711  1 Sc 3.50, 6 Er 3.52-3.58, 5 Pm 3.59-3.64
5 Er 0.3361 0.0000 0.3278  4 Er 3.49-3.61, 2 Sc 3.52, 6 Pm 3.52-3.58
6 Er 0.3361 0.3278 0.0000  4 Er 3.49-3.61, 2 Sc 3.52, 6 Pm 3.52-3.58
7 Er 0.6639 0.6722 0.0000  4 Er 3.49-3.61, 2 Sc 3.52, 6 Pm 3.52-3.58
8 Er 0.6639 0.0000 0.6722  4 Er 3.49-3.61, 2 Sc 3.52, 6 Pm 3.52-3.58
9 Sc 0.0000 0.0000 0.0000  4 Pm 3.50, 8 Er 3.52

Output
The energy of formation from the pure elements is 0.035 eV/atom. The total magnetic moment comes out at 0.000 μB per atom. The density of states at the Fermi level comes out at 14.76 states/eV per cell. The value obtained for the calculated volume is 284.0 Å³ per cell. The value obtained for the final energy is -0.1767 Ha/atom.

Density functional theory data (PBE) for a relaxed TaNi2Br crystal.

Unit cell a=3.1631 b=4.3978 c=4.3978 alpha=90.00 beta=90.00 gamma=90.00
Last column: nearest neighbours and their distance in Å.
Sites, in units of the cell vectors:
1 Ni 0.0000 0.5000 0.5000  4 Ta 2.71, 4 Br 2.71
2 Ni 0.0000 0.0000 0.0000  4 Ta 2.71, 4 Br 2.71
3 Ta 0.5000 0.5000 0.0000  8 Ni 2.71
4 Br 0.5000 0.0000 0.5000  8 Ni 2.71

Output
The total magnetic moment comes out at 0.000 μB per atom. The density of states at the Fermi level comes out at 4.69 states/eV per cell. The value obtained for the calculated volume is 61.2 Å³ per cell. The value obtained for the final energy is -0.2063 Ha/atom.

Question: Which formula does entry 6 have?
Answer: LaMg2CdPb